DFT (PBE with a Hubbard U) results for a relaxed ZnNi2BO4 crystal.

Lattice parameters (Å, degrees): 10.8384 6.6785 6.1410 90.00 122.99 90.00
Space group C2/c (No. 15)
Symmetry-distinct sites (fractional):
Zn 0.2500 0.2500 0.0000 [4 per cell]
Ni 0.0000 0.0000 0.0000 [4 per cell]
Ni 0.2500 0.2500 0.5000 [4 per cell]
B 0.0000 0.5000 0.0000 [4 per cell]
O 0.0561 0.3264 0.5462 [8 per cell]
O 0.1517 0.0080 0.8988 [8 per cell]

magnetic moment	3.001	μB/f.u.
DFT total energy	-169.307	eV for the cell shown
calculated density	4.59	g cm⁻³

=====

DFT (PBE with a Hubbard U) results for a relaxed ZrNiB2O crystal.

Lattice parameters (Å, degrees): 4.5901 4.5901 4.0172 90.00 90.00 90.00
Space group P4/mmm (No. 123)
Symmetry-distinct sites (fractional):
Zr 0.0000 0.0000 0.0000 [1 per cell]
Ni 0.5000 0.5000 0.5000 [1 per cell]
B 0.0000 0.5000 0.0000 [2 per cell]
O 0.0000 0.0000 0.5000 [1 per cell]

magnetic moment	1.398	μB/f.u.
DFT total energy	-24.383	eV for the cell shown
calculated density	3.68	g cm⁻³

=====

Among the records above, which one has the lowest DFT total energy? ZnNi2BO4

=====

Number 2 is which compound? ZrNiB2O

=====

Number 2 is which compound? ZrNiB2O

=====

Copy entry 1 word for word.
DFT (PBE with a Hubbard U) results for a relaxed ZnNi2BO4 crystal.

Lattice parameters (Å, degrees): 10.8384 6.6785 6.1410 90.00 122.99 90.00
Space group C2/c (No. 15)
Symmetry-distinct sites (fractional):
Zn 0.2500 0.2500 0.0000 [4 per cell]
Ni 0.0000 0.0000 0.0000 [4 per cell]
Ni 0.2500 0.2500 0.5000 [4 per cell]
B 0.0000 0.5000 0.0000 [4 per cell]
O 0.0561 0.3264 0.5462 [8 per cell]
O 0.1517 0.0080 0.8988 [8 per cell]

magnetic moment	3.001	μB/f.u.
DFT total energy	-169.307	eV for the cell shown
calculated density	4.59	g cm⁻³